DFT (PBE) results for a relaxed structure of YHo3In2.

POSCAR file:
```
YHo3In2
1.0
5.301 0.000 0.000
-2.651 8.624 -0.904
0.000 -4.638 8.005
Y Ho In
2 6 4
Direct
0.869 0.739 0.907
0.131 0.261 0.093
0.308 0.616 0.608
0.942 0.884 0.598
0.616 0.232 0.686
0.384 0.768 0.314
0.058 0.116 0.402
0.692 0.384 0.392
0.523 0.047 0.877
0.477 0.953 0.123
0.771 0.542 0.136
0.229 0.458 0.864
```

* excess energy over the best structure of this formula in the dataset: 0.121 eV/atom
* uncorrected energy: -54.265 eV per cell
* space-group type: C2/m, No. 12
* E_form: -0.24 eV per atom